Here is an optimized crystal structure of Pr3Al2Ga4 from the Alexandria database. Energies are from PBE.

The structure belongs to space group C2/m (No. 12); the cell edges are 11.455, 4.338 and 8.673 Å and the angles 90.00°, 100.96° and 90.00°. The inequivalent atoms are Pr at (0.000, 0.000, 0.000), Pr at (0.165, 0.500, 0.668), Al at (0.111, 0.500, 0.278), Ga at (0.058, 0.000, 0.391) and Ga at (0.219, 0.500, 0.052).

The formation energy is -0.6282 eV per atom. As for the magnetic moment: 0.0000 μB/atom. The value obtained for the energy is -79.170 eV per cell.